# 1
Here is an optimized crystal structure of FeH2Pt from the Alexandria database. Energies are from PBE-GGA.

```
data_FeH2Pt
_chemical_formula_sum 'Fe1 H2 Pt1'
_cell_length_a 5.245
_cell_length_b 5.245
_cell_length_c 5.245
_cell_angle_alpha 31.02
_cell_angle_beta 31.02
_cell_angle_gamma 31.02
_symmetry_space_group_name_H-M 'P 1'
_symmetry_Int_Tables_number 1
loop_
_symmetry_equiv_pos_as_xyz
'x,y,z'
loop_
_atom_site_label
_atom_site_type_symbol
_atom_site_fract_x
_atom_site_fract_y
_atom_site_fract_z
Fe1 Fe 0.000 0.000 0.000
H1 H 0.382 0.382 0.382
H2 H 0.618 0.618 0.618
Pt1 Pt 0.500 0.500 0.500
```

Computed properties:
The offset from the most stable computed form is 0.000 kcal/mol of atoms.

# 2
Here is an optimized crystal structure of CaCN from the Alexandria database. Energies are from PBE-GGA.

```
data_CaCN
_chemical_formula_sum 'Ca1 C1 N1'
_cell_length_a 4.051
_cell_length_b 4.051
_cell_length_c 4.051
_cell_angle_alpha 124.94
_cell_angle_beta 124.94
_cell_angle_gamma 81.64
_symmetry_space_group_name_H-M 'P 1'
_symmetry_Int_Tables_number 1
loop_
_symmetry_equiv_pos_as_xyz
'x,y,z'
loop_
_atom_site_label
_atom_site_type_symbol
_atom_site_fract_x
_atom_site_fract_y
_atom_site_fract_z
Ca1 Ca 0.000 0.000 0.000
C1 C 0.401 0.401 0.000
N1 N 0.602 0.602 0.000
```

Computed properties:
The offset from the most stable computed form is 2.706 kcal/mol of atoms. The uncorrected formation energy comes out at -0.4223 eV/atom.

# 3
Here is an optimized crystal structure of Be2Ag2Cl from the Alexandria database. Energies are from PBE-GGA.

```
data_Be2Ag2Cl
_chemical_formula_sum 'Be2 Ag2 Cl1'
_cell_length_a 6.197
_cell_length_b 6.197
_cell_length_c 6.197
_cell_angle_alpha 143.25
_cell_angle_beta 143.25
_cell_angle_gamma 52.96
_symmetry_space_group_name_H-M 'P 1'
_symmetry_Int_Tables_number 1
loop_
_symmetry_equiv_pos_as_xyz
'x,y,z'
loop_
_atom_site_label
_atom_site_type_symbol
_atom_site_fract_x
_atom_site_fract_y
_atom_site_fract_z
Be1 Be 0.099 0.099 0.000
Be2 Be 0.901 0.901 0.000
Ag1 Ag 0.250 0.750 0.500
Ag2 Ag 0.750 0.250 0.500
Cl1 Cl 0.500 0.500 0.000
```

Computed properties:
The uncorrected formation energy comes out at 0.4811 eV/atom.

# 4
Here is an optimized crystal structure of Nd3ReSe2O6 from the Alexandria database. Energies are from PBE-GGA.

```
data_Nd3ReSe2O6
_chemical_formula_sum 'Nd3 Re1 Se2 O6'
_cell_length_a 7.088
_cell_length_b 7.088
_cell_length_c 5.321
_cell_angle_alpha 95.45
_cell_angle_beta 95.45
_cell_angle_gamma 57.58
_symmetry_space_group_name_H-M 'P 1'
_symmetry_Int_Tables_number 1
loop_
_symmetry_equiv_pos_as_xyz
'x,y,z'
loop_
_atom_site_label
_atom_site_type_symbol
_atom_site_fract_x
_atom_site_fract_y
_atom_site_fract_z
Nd1 Nd 0.000 0.000 0.000
Nd2 Nd 0.000 0.500 0.500
Nd3 Nd 0.500 0.000 0.500
Re1 Re 0.500 0.500 0.500
Se1 Se 0.214 0.214 0.906
Se2 Se 0.786 0.786 0.094
O1 O 0.240 0.659 0.705
O2 O 0.341 0.760 0.295
O3 O 0.356 0.356 0.339
O4 O 0.644 0.644 0.661
O5 O 0.659 0.240 0.705
O6 O 0.760 0.341 0.295
```

Computed properties:
The uncorrected formation energy comes out at -1.9876 eV/atom.

For reference, total magnetic moment by record: 2.437; 0.000; 0.000; 0.000 Bohr magnetons per cell.